{"formula": "SrFeCl2", "functional": "PBE", "state": "optimized geometry", "cell": [[-2.0799, 2.0799, 5.6661], [2.0799, -2.0799, 5.6661], [2.0799, 2.0799, -5.6661]], "species": ["Sr", "Fe", "Cl", "Cl"], "fractional_positions": [[0.0000, 0.0000, 0.0000], [0.7500, 0.2500, 0.5000], [0.2500, 0.7500, 0.5000], [0.5000, 0.5000, 0.0000]], "space_group": "I-4m2", "energy_ev_per_atom": -4.05, "raw_formation_energy_ev_per_atom": -0.5937}